(1)
First-principles (GGA-PBE) data for a geometry-optimized Ca2ZrAs structure, as listed in Alexandria.

Summary:
ΔE_f	-0.340	eV/atom
raw total energy	-4.64	eV/atom

Cell: 4.203 6.558 6.558 Å, 39.76 90.00 90.00°
Sites, in units of the cell vectors:
Ca 0.000 0.000 0.000
Ca 0.500 0.314 0.314
Zr 0.000 0.709 0.709
As 0.500 0.579 0.579



(2)
First-principles (GGA-PBE) data for a geometry-optimized Ca5ZrAs4 structure, as listed in Alexandria.

Summary:
ΔE_f	-0.957	eV/atom
raw total energy	-4.67	eV/atom

Cell: 9.212 9.212 8.133 Å, 103.80 103.80 26.19°
Sites, in units of the cell vectors:
Ca 0.000 0.000 0.000
Ca 0.330 0.330 0.646
Ca 0.338 0.338 0.170
Ca 0.662 0.662 0.830
Ca 0.670 0.670 0.354
Zr 0.000 0.000 0.500
As 0.161 0.161 0.593
As 0.497 0.497 0.738
As 0.503 0.503 0.262
As 0.839 0.839 0.407



(3)
First-principles (GGA-PBE) data for a geometry-optimized CaZr4As structure, as listed in Alexandria.

Summary:
ΔE_f	0.351	eV/atom
raw total energy	-6.46	eV/atom

Cell: 5.940 5.940 5.940 Å, 60.00 60.00 60.00°
Sites, in units of the cell vectors:
Ca 0.000 0.000 0.000
Zr 0.116 0.628 0.628
Zr 0.628 0.116 0.628
Zr 0.628 0.628 0.116
Zr 0.628 0.628 0.628
As 0.250 0.250 0.250



(4)
First-principles (GGA-PBE) data for a geometry-optimized CaZr2As structure, as listed in Alexandria.

Summary:
ΔE_f	-0.136	eV/atom
raw total energy	-6.07	eV/atom

Cell: 3.405 5.172 5.370 Å, 90.00 97.12 90.00°
Sites, in units of the cell vectors:
Ca 0.000 0.000 0.000
Zr 0.342 0.500 0.730
Zr 0.658 0.500 0.270
As 0.500 0.000 0.500